No. 1
The following is a GGA-PBE calculation of a geometry-optimized La4Ag2N structure, from Alexandria. Values from VASP.

Geometry as Quantum ESPRESSO input:
```
&SYSTEM
  ibrav = 0, nat = 14, ntyp = 3
/
ATOMIC_SPECIES
La 138.91 La.upf
Ag 107.87 Ag.upf
N 14.01 N.upf
CELL_PARAMETERS angstrom
7.227 0.000 0.120
0.000 7.382 0.000
-2.521 0.000 7.984
ATOMIC_POSITIONS crystal
La 0.513 0.491 0.754
La 0.487 0.991 0.246
La 0.076 0.750 0.375
La 0.513 0.009 0.754
La 0.090 0.750 0.915
La 0.924 0.250 0.625
La 0.910 0.250 0.085
La 0.487 0.509 0.246
Ag 0.277 0.250 0.948
Ag 0.742 0.750 0.563
Ag 0.723 0.750 0.052
Ag 0.258 0.250 0.437
N 0.740 0.250 0.806
N 0.260 0.750 0.194
```

Values from the calculation:
ΔE to the lowest computed polymorph: 43 kJ/mol of formula units
DOS at the Fermi energy: 1.21 states/eV per atom
ρ: 6.1 g/cm³
Uncorrected formation energy: -11.182 kcal/mol of atoms

=====

No. 2
The following is a GGA-PBE calculation of a geometry-optimized RbBa2RhPb structure, from Alexandria. Values from VASP.

Geometry as Quantum ESPRESSO input:
```
&SYSTEM
  ibrav = 0, nat = 5, ntyp = 4
/
ATOMIC_SPECIES
Ba 137.33 Ba.upf
Rb 85.47 Rb.upf
Pb 207.20 Pb.upf
Rh 102.91 Rh.upf
CELL_PARAMETERS angstrom
6.186 0.000 0.000
0.000 6.186 0.000
0.000 0.000 5.461
ATOMIC_POSITIONS crystal
Ba 0.500 0.000 0.000
Ba 0.000 0.500 0.000
Rb 0.500 0.500 0.500
Pb 0.000 0.000 0.500
Rh 0.000 0.000 0.000
```

Values from the calculation:
Formation enthalpy at 0 K: -179 meV per atom
DOS at the Fermi energy: 0.64 states/eV per atom
ρ: 5.3 g/cm³

=====

No. 3
The following is a GGA-PBE calculation of a geometry-optimized TaSiCl2 structure, from Alexandria. Values from VASP.

Geometry as Quantum ESPRESSO input:
```
&SYSTEM
  ibrav = 0, nat = 4, ntyp = 3
/
ATOMIC_SPECIES
Si 28.09 Si.upf
Ta 180.95 Ta.upf
Cl 35.45 Cl.upf
CELL_PARAMETERS angstrom
-2.589 3.932 -2.026
-2.999 -3.051 2.823
0.600 1.634 2.403
ATOMIC_POSITIONS crystal
Si 0.500 0.000 0.500
Ta 0.000 0.500 0.500
Cl 0.000 0.000 0.000
Cl 0.500 0.500 0.000
```

Values from the calculation:
ΔE to the lowest computed polymorph: 430 kJ/mol of formula units
DOS at the Fermi energy: 0.73 states/eV per atom
ρ: 6.4 g/cm³
Uncorrected formation energy: 14.604 kcal/mol of atoms

=====

No. 4
The following is a GGA-PBE calculation of a geometry-optimized PmDy3Th2P6 structure, from Alexandria. Values from VASP.

Geometry as Quantum ESPRESSO input:
```
&SYSTEM
  ibrav = 0, nat = 12, ntyp = 4
/
ATOMIC_SPECIES
Pm 145.00 Pm.upf
Dy 162.50 Dy.upf
Th 232.04 Th.upf
P 30.97 P.upf
CELL_PARAMETERS angstrom
4.085 0.000 0.000
0.000 8.127 0.306
-2.043 -2.326 8.561
ATOMIC_POSITIONS crystal
Pm 0.500 0.000 0.000
Dy 0.834 0.166 0.669
Dy 0.500 0.500 0.000
Dy 0.166 0.834 0.331
Th 0.835 0.669 0.669
Th 0.165 0.331 0.331
P 0.331 0.920 0.663
P 0.666 0.587 0.331
P 0.001 0.745 0.002
P 0.669 0.080 0.337
P 0.334 0.413 0.669
P 0.999 0.255 0.998
```

Values from the calculation:
Formation enthalpy at 0 K: -1597 meV per atom
DOS at the Fermi energy: 0.31 states/eV per atom
ρ: 7.4 g/cm³

=====

No. 5
The following is a GGA-PBE calculation of a geometry-optimized NpIr2S5 structure, from Alexandria. Values from VASP.

Geometry as Quantum ESPRESSO input:
```
&SYSTEM
  ibrav = 0, nat = 8, ntyp = 3
/
ATOMIC_SPECIES
S 32.06 S.upf
Np 237.00 Np.upf
Ir 192.22 Ir.upf
CELL_PARAMETERS angstrom
5.117 1.102 1.718
3.839 7.468 1.289
0.666 0.551 6.493
ATOMIC_POSITIONS crystal
S 0.614 0.731 0.145
S 0.386 0.269 0.855
S 0.000 0.500 0.500
S 0.741 0.269 0.145
S 0.259 0.731 0.855
Np 0.500 0.500 0.500
Ir 0.808 0.500 0.884
Ir 0.192 0.500 0.116
```

Values from the calculation:
DOS at the Fermi energy: 1.65 states/eV per atom
ρ: 6.1 g/cm³
Uncorrected formation energy: -7.565 kcal/mol of atoms

=====

No. 6
The following is a GGA-PBE calculation of a geometry-optimized Sc3Tl structure, from Alexandria. Values from VASP.

Geometry as Quantum ESPRESSO input:
```
&SYSTEM
  ibrav = 0, nat = 4, ntyp = 2
/
ATOMIC_SPECIES
Sc 44.96 Sc.upf
Tl 204.38 Tl.upf
CELL_PARAMETERS angstrom
3.397 0.000 0.000
0.000 4.439 0.000
0.000 0.000 6.312
ATOMIC_POSITIONS crystal
Sc 0.500 0.500 0.746
Sc 0.500 0.500 0.254
Sc 0.000 0.000 0.500
Tl 0.000 0.000 0.000
```

Values from the calculation:
Formation enthalpy at 0 K: -149 meV per atom
DOS at the Fermi energy: 1.40 states/eV per atom
ρ: 5.9 g/cm³